Compound: ErLuAlFe
Source: Alexandria via LeMat-Bulk
Functional: PBE-GGA
Structure: optimized geometry

density	8.57	Mg/m³
DFT formation energy	-0.1142	eV per atom
space-group type	F-43m

Geometry as CIF:
```
data_ErLuAlFe
_space_group_name_H-M_alt 'P 1'
_space_group_IT_number 1
_cell_length_a 4.883
_cell_length_b 4.883
_cell_length_c 4.883
_cell_angle_alpha 60.00
_cell_angle_beta 60.00
_cell_angle_gamma 60.00
loop_
_space_group_symop_operation_xyz
'x,y,z'
loop_
_atom_site_label
_atom_site_fract_x
_atom_site_fract_y
_atom_site_fract_z
_atom_site_occupancy
Lu1 0.000 0.000 0.000 1
Er1 0.500 0.500 0.500 1
Al1 0.250 0.250 0.250 1
Fe1 0.750 0.750 0.750 1
```